DFT (PBE-GGA) results for a relaxed structure of Ca4TcW.

Output
Fermi-level density of states = 8.617 states/eV/f.u.
crystal system = cubic
E_form = 1.589 eV/atom
spin magnetization = 5.7 μB per cell

```
Ca4TcW
1.0
0.000 4.304 4.304
4.304 0.000 4.304
4.304 4.304 0.000
Ca Tc W
4 1 1
Cartesian
1.075 1.075 1.075
3.229 3.229 1.075
3.229 1.075 3.229
1.075 3.229 3.229
6.457 6.457 6.457
4.304 4.304 4.304
```